A plane-wave DFT calculation with PBE-GGA was carried out for an optimized crystal structure of LaHfCd.

Calculated values
Space group   F-43m
ΔE to the lowest computed polymorph   0 meV/atom
ΔH_f (0 K)   0.631 eV/atom

Cell lengths 4.958, 4.958, 4.958 Å; angles 60.00, 60.00, 60.00 degrees
Fractional positions:
La (0.000, 0.000, 0.000)
Hf (0.750, 0.750, 0.750)
Cd (0.500, 0.500, 0.500)